Li2MnSb | Alexandria | SCAN | single point on PBEsol structure; formation energy without anion corrections = -0.16 eV/atom; mass density = 4.6 g cm⁻³; final energy = -60.9 eV per cell; size of the total moment = 4.37 Bohr magnetons per cell
1.0
-3.1158 0.1604 1.6908
0.5213 -3.2718 1.2711
2.4875 2.0999 4.3847
Sb Mn Li
1 1 2
direct
0.5000 0.5000 0.5000 Sb
0.5000 0.5000 0.0000 Mn
0.0000 0.0000 0.7529 Li
0.0000 0.0000 0.2471 Li